A plane-wave DFT calculation with GGA+U was carried out for a relaxed structure of RbErFeO4.

a = 5.728 Å, b = 5.785 Å, c = 7.685 Å
α = 90.00°, β = 109.25°, γ = 90.00°
Last column: magnetic moment on the atom in μB.
Sites, in units of the cell vectors:
O (0.545, 0.250, 0.791)  0.01
O (0.535, 0.250, 0.444)  0.13
O (0.455, 0.750, 0.209)  0.01
Rb (0.311, 0.250, 0.069)  0.00
Er (0.200, 0.250, 0.539)  0.01
O (0.971, 0.476, 0.675)  -0.04
O (0.029, 0.524, 0.325)  -0.04
O (0.971, 0.024, 0.675)  -0.04
Rb (0.689, 0.750, 0.931)  0.00
Fe (0.752, 0.250, 0.665)  -0.04
O (0.029, 0.976, 0.325)  -0.04
Er (0.800, 0.750, 0.461)  0.01
O (0.465, 0.750, 0.556)  0.13
Fe (0.248, 0.750, 0.335)  -0.04

Output
space-group type = No. 11
DFT total energy = -6.260 eV per atom